## BaNaTl4 (PBE)

Data for a geometry-optimized BaNaTl4 structure.

The calculation puts the electronic total energy at -55.9 eV/cell. The value obtained for the offset from the most stable computed form is 8 meV/atom. The calculation puts the total magnetization at 0.00 μB per formula unit. As for the formation energy: -20 kJ per mole of atoms. The value obtained for the mass density is 8.1 Mg/m³.

a b c (Å): 9.272 9.272 9.272
angles (deg): 90.00 90.00 90.00
Space group F-43m (No. 216)
Symmetry-distinct sites (fractional):
Ba (0.000, 0.000, 0.000) x4
Na (0.250, 0.250, 0.250) x4
Tl (0.124, 0.124, 0.624) x16

***

## Cs6GaO4 (PBE)

Data for a geometry-optimized Cs6GaO4 structure.

The calculation puts the electronic total energy at -81.8 eV/cell. As for the uncorrected formation energy: -1.176 eV per atom. The calculation puts the total magnetization at 0.00 μB per formula unit. The value obtained for the mass density is 3.5 Mg/m³.

a b c (Å): 12.4147 12.4147 6.5916
angles (deg): 90.00 90.00 120.00
Space group P6_3mc (No. 186)
Symmetry-distinct sites (fractional):
Cs (0.1220, 0.5610, 0.0000) x6
Cs (0.1703, 0.3405, 0.5743) x6
Ga (0.3333, 0.6667, 0.4027) x2
O (0.2515, 0.5030, 0.2846) x6
O (0.3333, 0.6667, 0.6892) x2

***

## Rb2PaPt2O6 (PBE)

Data for a geometry-optimized Rb2PaPt2O6 structure.

The calculation puts the electronic total energy at -209.2 eV/cell. As for the uncorrected formation energy: -1.498 eV per atom. The calculation puts the total magnetization at 1.43 μB per formula unit. The value obtained for the mass density is 6.8 Mg/m³.

a b c (Å): 6.3363 6.3363 18.5892
angles (deg): 90.00 90.00 120.00
Space group R-3m (No. 166, hexagonal axes)
Symmetry-distinct sites (fractional):
Rb (0.0000, 0.0000, 0.2127) x6
Pa (0.0000, 0.0000, 0.0000) x3
Pt (0.0000, 0.0000, 0.4068) x6
O (0.0232, 0.5116, 0.7403) x18

***

Q: Which of these has the lowest electronic total energy?
A: Rb2PaPt2O6

***

Q: Among the records above, which one has the lowest electronic total energy?
A: Rb2PaPt2O6

***

Q: electronic total energy of number 2 (Cs6GaO4)?
A: -81.8 eV/cell